Entry 1:
Density functional theory data (PBE) for a relaxed BaLaInHg crystal.

## Properties
Formation energy   -414 meV/atom

```
data_BaLaInHg
_cell_length_a 8.1764
_cell_length_b 8.1764
_cell_length_c 8.1764
_cell_angle_alpha 90.00
_cell_angle_beta 90.00
_cell_angle_gamma 90.00
_symmetry_space_group_name_H-M 'F -4 3 m'
_symmetry_Int_Tables_number 216
_symmetry_space_group_name_Hall 'F -4 2 3'
loop_
_atom_site_label
_atom_site_type_symbol
_atom_site_fract_x
_atom_site_fract_y
_atom_site_fract_z
Ba1 Ba 0.0000 0.0000 0.0000
La1 La 0.0000 0.0000 0.5000
In1 In 0.2500 0.2500 0.2500
Hg1 Hg 0.2500 0.2500 0.7500
```



Entry 2:
Density functional theory data (PBE) for a relaxed La7NdY2 crystal.

## Properties
Energy above the most stable polymorph in this dataset   0.184 eV/atom
Formation energy   332 meV/atom

```
data_La7NdY2
_cell_length_a 12.2438
_cell_length_b 17.3396
_cell_length_c 3.5439
_cell_angle_alpha 90.00
_cell_angle_beta 90.00
_cell_angle_gamma 90.00
_symmetry_space_group_name_H-M 'C m m m'
_symmetry_Int_Tables_number 65
_symmetry_space_group_name_Hall '-C 2 2'
loop_
_atom_site_label
_atom_site_type_symbol
_atom_site_fract_x
_atom_site_fract_y
_atom_site_fract_z
La1 La 0.0000 0.0000 0.0000
La2 La 0.0000 0.1781 0.5000
La3 La 0.2421 0.1317 0.0000
Nd1 Nd 0.0000 0.5000 0.5000
Y1 Y 0.0000 0.3329 0.0000
```



Entry 3:
Density functional theory data (PBE) for a relaxed TcSb2Au crystal.

## Properties
Energy relative to the elements, uncorrected   172 meV/atom
Energy above the most stable polymorph in this dataset   0.066 eV/atom

```
data_TcSb2Au
_cell_length_a 3.1814
_cell_length_b 4.1332
_cell_length_c 13.1831
_cell_angle_alpha 90.00
_cell_angle_beta 90.00
_cell_angle_gamma 90.00
_symmetry_space_group_name_H-M 'I m m 2'
_symmetry_Int_Tables_number 44
loop_
_symmetry_equiv_pos_as_xyz
'x,y,z'
'-x,-y,z'
'-x,y,z'
'x,-y,z'
'x+1/2,y+1/2,z+1/2'
'-x+1/2,-y+1/2,z+1/2'
'-x+1/2,y+1/2,z+1/2'
'x+1/2,-y+1/2,z+1/2'
loop_
_atom_site_label
_atom_site_type_symbol
_atom_site_fract_x
_atom_site_fract_y
_atom_site_fract_z
Tc1 Tc 0.0000 0.0000 0.0000
Sb1 Sb 0.0000 0.0000 0.5566
Sb2 Sb 0.0000 0.5000 0.3330
Au1 Au 0.0000 0.5000 0.7115
```



Entry 4:
Density functional theory data (PBE) for a relaxed YBr crystal.

## Properties
Energy relative to the elements, uncorrected   -914 meV/atom

```
data_YBr
_cell_length_a 3.6561
_cell_length_b 5.6519
_cell_length_c 5.4293
_cell_angle_alpha 90.00
_cell_angle_beta 102.13
_cell_angle_gamma 90.00
_symmetry_space_group_name_H-M 'P 1 21/m 1'
_symmetry_Int_Tables_number 11
loop_
_symmetry_equiv_pos_as_xyz
'x,y,z'
'-x,-y,-z'
'-x,y+1/2,-z'
'x,-y+1/2,z'
loop_
_atom_site_label
_atom_site_type_symbol
_atom_site_fract_x
_atom_site_fract_y
_atom_site_fract_z
Y1 Y 0.2295 0.2500 0.1821
Br1 Br 0.1450 0.7500 0.3713
```



Entry 5:
Density functional theory data (PBE) for a relaxed Cs2BaSiW crystal.

## Properties
Energy relative to the elements, uncorrected   1967 meV/atom

```
data_Cs2BaSiW
_cell_length_a 7.4926
_cell_length_b 7.4926
_cell_length_c 5.4066
_cell_angle_alpha 90.00
_cell_angle_beta 90.00
_cell_angle_gamma 90.00
_symmetry_space_group_name_H-M 'P 4/m m m'
_symmetry_Int_Tables_number 123
_symmetry_space_group_name_Hall '-P 4 2'
loop_
_atom_site_label
_atom_site_type_symbol
_atom_site_fract_x
_atom_site_fract_y
_atom_site_fract_z
Cs1 Cs 0.0000 0.5000 0.0000
Ba1 Ba 0.0000 0.0000 0.0000
Si1 Si 0.5000 0.5000 0.5000
W1 W 0.0000 0.0000 0.5000
```



Entry 6:
Density functional theory data (PBE) for a relaxed BaMnSbS4 crystal.

## Properties
Energy relative to the elements, uncorrected   -809 meV/atom

```
data_BaMnSbS4
_cell_length_a 7.0251
_cell_length_b 6.6826
_cell_length_c 8.6533
_cell_angle_alpha 90.00
_cell_angle_beta 108.28
_cell_angle_gamma 90.00
_symmetry_space_group_name_H-M 'P 1 21/m 1'
_symmetry_Int_Tables_number 11
loop_
_symmetry_equiv_pos_as_xyz
'x,y,z'
'-x,-y,-z'
'-x,y+1/2,-z'
'x,-y+1/2,z'
loop_
_atom_site_label
_atom_site_type_symbol
_atom_site_fract_x
_atom_site_fract_y
_atom_site_fract_z
Ba1 Ba 0.2356 0.2500 0.4556
Mn1 Mn 0.2333 0.7500 0.1906
Sb1 Sb 0.2692 0.2500 0.0113
S1 S 0.0486 0.7500 0.9157
S2 S 0.1214 0.7500 0.4027
S3 S 0.4572 0.0067 0.2259
```



Entry 7:
Density functional theory data (PBE) for a relaxed CrGaB3 crystal.

## Properties
Energy above the most stable polymorph in this dataset   1.091 eV/atom
Formation energy   2233 meV/atom

```
data_CrGaB3
_cell_length_a 3.9632
_cell_length_b 3.9632
_cell_length_c 3.9632
_cell_angle_alpha 90.00
_cell_angle_beta 90.00
_cell_angle_gamma 90.00
_symmetry_space_group_name_H-M 'P m -3 m'
_symmetry_Int_Tables_number 221
_symmetry_space_group_name_Hall '-P 4 2 3'
loop_
_atom_site_label
_atom_site_type_symbol
_atom_site_fract_x
_atom_site_fract_y
_atom_site_fract_z
Cr1 Cr 0.0000 0.0000 0.0000
Ga1 Ga 0.5000 0.5000 0.5000
B1 B 0.0000 0.5000 0.5000
```



Entry 8:
Density functional theory data (PBE) for a relaxed Rb3Pb crystal.

## Properties
Formation energy   -1 meV/atom

```
data_Rb3Pb
_cell_length_a 6.6733
_cell_length_b 6.6733
_cell_length_c 9.4274
_cell_angle_alpha 90.00
_cell_angle_beta 90.00
_cell_angle_gamma 90.00
_symmetry_space_group_name_H-M 'I 4/m m m'
_symmetry_Int_Tables_number 139
_symmetry_space_group_name_Hall '-I 4 2'
loop_
_atom_site_label
_atom_site_type_symbol
_atom_site_fract_x
_atom_site_fract_y
_atom_site_fract_z
Rb1 Rb 0.0000 0.0000 0.0000
Rb2 Rb 0.0000 0.5000 0.2500
Pb1 Pb 0.0000 0.0000 0.5000
```